(1)
VASP calculation (GGA-PBEsol) on crystalline Cd3GeCl at its relaxed geometry.

Structure (POSCAR):
```
Cd3GeCl
1.0
5.1534 0.0000 0.0000
0.0000 5.1534 0.0000
0.0000 0.0000 5.1534
Cd Cl Ge
3 1 1
Cartesian
0.0000 2.5767 0.0000 Cd
0.0000 0.0000 2.5767 Cd
2.5767 0.0000 0.0000 Cd
2.5767 2.5767 2.5767 Cl
0.0000 0.0000 0.0000 Ge
```

Computed properties:
M_tot ... 0.0 Bohr magnetons per cell
Raw formation energy ... 0.019 eV/atom
Polymorph energy (0 for the lowest one) ... 0 meV/atom
Symmetry ... No. 221

***

(2)
VASP calculation (GGA-PBEsol) on crystalline In2ReAu at its relaxed geometry.

Structure (POSCAR):
```
In2ReAu
1.0
4.1141 0.0000 0.0000
0.0000 4.1141 0.0000
-2.0571 -2.0571 4.2367
In Re Au
2 1 1
Cartesian
0.0000 2.0571 2.1184 In
2.0571 0.0000 2.1184 In
2.0571 2.0571 0.0000 Re
0.0000 0.0000 0.0000 Au
```

Computed properties:
M_tot ... 0.5 Bohr magnetons per cell
E_form ... 441 meV/atom
Polymorph energy (0 for the lowest one) ... 8 meV/atom
Symmetry ... No. 139

***

(3)
VASP calculation (GGA-PBEsol) on crystalline Ti6Ga16Ni7 at its relaxed geometry.

Structure (POSCAR):
```
Ti6Ga16Ni7
1.0
8.2806 0.0000 0.0000
4.1403 7.1713 0.0000
4.1403 2.3904 6.7611
Ni Ga Ti
7 16 6
Cartesian
4.1403 0.0000 0.0000 Ni
0.0000 0.0000 0.0000 Ni
6.2105 3.5856 0.0000 Ni
4.1403 4.7808 3.3806 Ni
2.0702 1.1952 3.3806 Ni
6.2105 1.1952 3.3806 Ni
2.0702 3.5856 0.0000 Ni
8.2806 1.9127 4.3946 Ga
8.2806 4.7808 0.3385 Ga
12.4210 7.1713 2.5002 Ga
2.0414 1.1786 0.8334 Ga
14.5199 8.3831 5.9277 Ga
10.7645 6.2149 4.3946 Ga
5.7968 3.3468 2.3665 Ga
8.2807 4.7808 6.4227 Ga
8.2807 7.6490 2.3665 Ga
10.3221 8.3831 5.9277 Ga
10.7645 3.3468 2.3665 Ga
4.1403 2.3904 4.2609 Ga
12.4210 4.7477 5.9277 Ga
5.7968 6.2149 4.3946 Ga
6.2392 1.1786 0.8334 Ga
4.1403 4.8140 0.8334 Ga
8.2806 6.7697 4.7869 Ti
6.5582 3.7864 4.7869 Ti
10.0031 5.7753 1.9742 Ti
8.2806 2.7919 1.9742 Ti
6.5582 5.7753 1.9742 Ti
10.0031 3.7864 4.7869 Ti
```

Computed properties:
M_tot ... 0.0 Bohr magnetons per cell
E_form ... -484 meV/atom
Symmetry ... No. 225

***

(4)
VASP calculation (GGA-PBEsol) on crystalline ZrTaBr3 at its relaxed geometry.

Structure (POSCAR):
```
ZrTaBr3
1.0
5.2085 0.0000 0.0000
0.0000 5.2085 0.0000
0.0000 0.0000 5.2085
Br Zr Ta
3 1 1
Cartesian
2.6042 0.0000 0.0000 Br
0.0000 0.0000 2.6042 Br
0.0000 2.6042 0.0000 Br
0.0000 0.0000 0.0000 Zr
2.6042 2.6042 2.6042 Ta
```

Computed properties:
M_tot ... 4.2 Bohr magnetons per cell
Raw formation energy ... 0.604 eV/atom
Symmetry ... No. 221

***

(5)
VASP calculation (GGA-PBEsol) on crystalline Ga2Ru at its relaxed geometry.

Structure (POSCAR):
```
Ga2Ru
1.0
-0.7873 -4.3387 1.6433
3.0443 -3.4526 -0.9193
1.7969 -1.1993 4.4324
Ga Ru
4 2
Cartesian
1.8803 -3.0182 -0.3299 Ga
0.6661 -5.1455 3.5785 Ga
0.3767 -4.7732 1.0539 Ga
2.9941 -6.0145 2.3996 Ga
-0.3937 -2.1694 0.8217 Ru
2.2238 -3.4106 2.1674 Ru
```

Computed properties:
M_tot ... 0.0 Bohr magnetons per cell
E_form ... -440 meV/atom
Symmetry ... No. 70

***

(6)
VASP calculation (GGA-PBEsol) on crystalline Li2CaTa at its relaxed geometry.

Structure (POSCAR):
```
Li2CaTa
1.0
2.7471 0.0000 0.0000
0.0000 5.6931 -0.0941
0.0000 -2.2307 5.2387
Li Ta Ca
2 1 1
Cartesian
0.0000 -1.1154 2.6193 Li
0.0000 2.8465 -0.0470 Li
1.3736 0.0000 0.0000 Ta
1.3736 1.7312 2.5723 Ca
```

Computed properties:
M_tot ... 0.0 Bohr magnetons per cell
E_form ... 665 meV/atom
Polymorph energy (0 for the lowest one) ... 81 meV/atom
Symmetry ... No. 65

***

(7)
VASP calculation (GGA-PBEsol) on crystalline LuVO3 at its relaxed geometry.

Structure (POSCAR):
```
LuVO3
1.0
-1.2925 -2.1734 4.4365
-0.7262 -4.8332 -2.5793
7.1326 -1.7287 1.2311
V O Lu
4 12 4
Cartesian
-0.3631 -2.4166 -1.2896 V
-0.6462 -1.0867 2.2182 V
3.2032 -3.2810 -0.6741 V
2.9200 -1.9510 2.8338 V
-0.6687 -3.0806 2.3299 O
1.4877 -6.4247 2.0688 O
5.7825 -5.6547 0.7584 O
3.6262 -2.3106 1.0195 O
3.0984 -5.0041 0.2951 O
-1.1965 -5.7741 1.6055 O
3.8204 -5.8517 3.3860 O
4.5051 -2.8943 3.5716 O
0.6087 -5.8411 -0.4833 O
1.2935 -2.8836 -0.2977 O
6.3103 -2.9612 1.4828 O
2.0155 -3.7312 2.7932 O
0.4662 -2.9187 4.4465 Lu
0.6889 -4.3501 1.1458 Lu
4.6477 -5.8166 -1.3582 Lu
4.4249 -4.3852 1.9425 Lu
```

Computed properties:
M_tot ... 8.0 Bohr magnetons per cell
Raw formation energy ... -3.028 eV/atom
Symmetry ... No. 62

***

(8)
VASP calculation (GGA-PBEsol) on crystalline NbOs2CO at its relaxed geometry.

Structure (POSCAR):
```
NbOs2CO
1.0
-3.6779 -0.1113 -1.5762
-1.8506 -0.6380 4.3633
-0.3726 4.7377 0.5347
Os C O Nb
2 1 1 1
Cartesian
-0.9253 -0.3190 2.1817 Os
-0.1863 2.3688 0.2674 Os
-1.8390 -0.0557 -0.7881 C
-2.9506 1.9942 1.6609 O
0.0000 0.0000 0.0000 Nb
```

Computed properties:
M_tot ... 2.8 Bohr magnetons per cell
Raw formation energy ... 3.087 eV/atom
Symmetry ... No. 123

***

(9)
VASP calculation (GGA-PBEsol) on crystalline BaLaFe2 at its relaxed geometry.

Structure (POSCAR):
```
BaLaFe2
1.0
3.5689 0.0000 0.0000
0.0000 5.1202 0.0242
0.0000 -0.0244 5.1202
Fe La Ba
2 1 1
Cartesian
0.0000 2.5601 0.0121 Fe
0.0000 -0.0122 2.5601 Fe
1.7845 0.0000 0.0000 La
1.7845 2.5479 2.5722 Ba
```

Computed properties:
M_tot ... 4.0 Bohr magnetons per cell
E_form ... 752 meV/atom
Symmetry ... No. 123

***

(10)
VASP calculation (GGA-PBEsol) on crystalline Na2CaNb4Bi2O15 at its relaxed geometry.

Structure (POSCAR):
```
Na2CaNb4Bi2O15
1.0
-3.7492 -3.1549 2.4261
3.1145 -4.4641 -0.9920
11.2962 4.1668 16.7136
O Ca Bi Na Nb
30 2 4 4 8
Cartesian
4.9133 -2.8735 4.1758 O
3.1707 0.2023 7.3136 O
8.5177 2.3645 14.0226 O
6.2828 -1.9230 11.2189 O
7.3200 -3.2742 13.5351 O
0.7965 -0.8197 4.1114 O
5.9574 -0.8785 13.9053 O
-0.4310 -2.8061 2.3791 O
8.7272 -1.0016 14.3987 O
2.1607 -2.2072 6.1689 O
0.2498 -6.6495 3.2994 O
6.0367 -0.9284 5.9706 O
9.5442 -3.0329 16.2042 O
6.9971 -2.0337 8.2824 O
3.5506 -0.4777 4.5459 O
1.0060 -4.1859 4.4875 O
9.0725 -2.0644 11.7967 O
3.4373 -4.6754 5.8544 O
11.3308 -0.9876 15.6927 O
5.5093 0.2567 8.7335 O
3.4168 -0.7923 12.5618 O
3.6024 -1.3296 9.8850 O
-1.2481 -5.3264 1.4253 O
5.0902 -3.6201 9.4339 O
1.9780 -1.6529 1.6694 O
1.4505 -4.7652 1.6733 O
9.4492 0.9716 16.3985 O
11.2724 1.9638 14.5742 O
7.7959 0.4038 12.1112 O
-0.2988 -0.9851 0.2993 O
-2.7315 -2.4397 1.7880 Ca
0.6637 -3.1252 0.1026 Ca
7.2720 -3.7326 9.7796 Bi
7.7811 0.2382 8.9385 Bi
4.7426 -1.6591 7.9370 Bi
4.2336 -5.6299 8.7782 Bi
-0.7843 -1.9268 5.4827 Na
10.0350 0.4968 13.1143 Na
6.6284 1.1727 14.8071 Na
2.6223 -2.6027 3.7900 Na
-0.1508 -4.6046 3.0745 Nb
9.2570 -0.9567 16.1952 Nb
7.3460 -1.3817 12.6742 Nb
1.9958 -0.1789 5.8938 Nb
1.6551 -4.0079 6.6260 Nb
0.1991 -0.7677 2.3364 Nb
7.6867 2.4474 11.9421 Nb
9.6070 2.8802 15.4571 Nb
```

Computed properties:
M_tot ... 0.0 Bohr magnetons per cell
Raw formation energy ... -2.325 eV/atom
Symmetry ... No. 36

***

(11)
VASP calculation (GGA-PBEsol) on crystalline YIn4Te at its relaxed geometry.

Structure (POSCAR):
```
YIn4Te
1.0
-2.7008 5.2628 -1.0247
-2.7337 0.9989 -5.2508
-5.9905 0.3000 -0.2562
Te In Y
1 4 1
Cartesian
-8.5687 4.9213 -4.8987 Te
-5.6509 2.9586 -5.0834 In
-4.2775 2.4567 -2.4454 In
-5.6344 5.1008 -2.9602 In
-7.2871 2.6075 -2.5741 In
0.0000 0.0000 0.0000 Y
```

Computed properties:
M_tot ... 0.0 Bohr magnetons per cell
Raw formation energy ... -0.175 eV/atom
Symmetry ... No. 216

***

(12)
VASP calculation (GGA-PBEsol) on crystalline PrMgSn at its relaxed geometry.

Structure (POSCAR):
```
PrMgSn
1.0
-2.7000 -2.9686 -1.9937
2.6515 -3.3382 1.3796
-4.2848 2.5276 7.0745
Pr Sn Mg
2 2 2
Cartesian
-2.8855 -0.4191 4.5317 Pr
-1.4478 -3.3602 1.9287 Pr
-1.1480 -0.1667 1.8029 Sn
-3.1853 -3.6125 4.6574 Sn
1.3258 -1.6691 0.6898 Mg
-1.3500 -1.4843 -0.9969 Mg
```

Computed properties:
M_tot ... 0.0 Bohr magnetons per cell
E_form ... -642 meV/atom
Symmetry ... No. 139